! BeCoSb3, relaxed, DFT PBE-GGA; values from VASP
! E_form (uncorrected) in kcal/mol of atoms: 21.09
! Mass density in Mg/m³: 6.3
! Total magnetization in μB per atom: 0.286
! Energy relative to the lowest polymorph listed for this composition in eV per atom: 0.153
&SYSTEM
  ibrav = 0, nat = 5, ntyp = 3
/
ATOMIC_SPECIES
Be 9.01 Be.upf
Co 58.93 Co.upf
Sb 121.76 Sb.upf
CELL_PARAMETERS angstrom
4.839 0.000 0.000
0.000 4.839 0.000
0.000 0.000 4.839
ATOMIC_POSITIONS angstrom
Be 0.000 0.000 0.000
Co 2.420 2.420 2.420
Sb 0.000 0.000 2.420
Sb 0.000 2.420 0.000
Sb 2.420 0.000 0.000